# NpScTl2O6, relaxed, DFT GGA-PBE
data_NpScTl2O6
_cell_length_a 8.431
_cell_length_b 8.431
_cell_length_c 8.431
_cell_angle_alpha 90.00
_cell_angle_beta 90.00
_cell_angle_gamma 90.00
_space_group_name_H-M_alt 'F m -3 m'
_space_group_IT_number 225
_space_group_name_Hall '-F 4 2 3'
loop_
_atom_site_label
_atom_site_fract_x
_atom_site_fract_y
_atom_site_fract_z
Np1 0.000 0.000 0.000
Sc1 0.000 0.000 0.500
Tl1 0.250 0.250 0.250
O1 0.000 0.000 0.244
# * energy relative to the elements, uncorrected: -2.216 eV per atom
# * calculated total energy: -75.9 eV/f.u.
# * M_tot: 0.7 Bohr magnetons per cell
# * ρ: 8.721 g cm⁻³